[1]
Computed, not measured: an optimized crystal structure of Cr4Br at the PBE level of DFT.

Output
total DFT energy (no corrections) = -36.91 eV for the cell shown
total magnetization = 0.0 μB/f.u.
formation energy from raw total energies = 0.6507 eV per atom
relative energy among the computed polymorphs = 0 meV per atom
SG = I4/m

```
Cr4Br
1.0
3.0289 -3.3276 -1.9334
-0.4220 4.6396 1.5104
0.0340 -1.9307 4.5007
Cr Br
4 1
direct
0.5921 0.8121 0.4042
0.4079 0.1879 0.5958
0.8121 0.4079 0.2199
0.1879 0.5921 0.7801
0.0000 0.0000 0.0000
```

***

[2]
Computed, not measured: an optimized crystal structure of Rb2TiCr at the PBE level of DFT.

Output
total DFT energy (no corrections) = -28.73 eV for the cell shown
total magnetization = 2.0 μB/f.u.
E_form = 1.27 eV/atom
relative energy among the computed polymorphs = 0 meV per atom
SG = I-42d

```
Rb2TiCr
1.0
-13.2450 2.1013 0.6322
-2.1665 -11.9078 -5.8099
-7.7660 -5.9113 -0.5004
Rb Ti Cr
4 2 2
direct
0.3750 0.2107 0.7500
0.7893 0.1250 0.2500
0.9607 0.6250 0.2500
0.8750 0.0393 0.7500
0.5000 0.5000 0.0000
0.2500 0.7500 0.5000
0.7500 0.2500 0.5000
0.0000 0.0000 0.0000
```

***

[3]
Computed, not measured: an optimized crystal structure of La2DyGa2 at the PBE level of DFT.

Output
total DFT energy (no corrections) = -45.74 eV for the cell shown
total magnetization = 0.0 μB/f.u.
E_form = -0.47 eV/atom
relative energy among the computed polymorphs = 3 meV per atom
SG = C2/m

```
La2DyGa2
1.0
-2.8199 3.7908 -0.8384
-0.8306 1.0057 -6.3908
-9.2244 -3.9771 -0.6880
La Dy Ga
4 2 4
direct
0.6886 0.7249 0.8980
0.4775 0.3619 0.6831
0.3114 0.2751 0.1020
0.5225 0.6381 0.3169
0.7940 0.0522 0.3597
0.2060 0.9478 0.6403
0.0379 0.8331 0.0912
0.8735 0.6801 0.5729
0.9621 0.1669 0.9088
0.1265 0.3199 0.4271
```

***

[4]
Computed, not measured: an optimized crystal structure of NiSbC2 at the PBE level of DFT.

Output
total DFT energy (no corrections) = -47.68 eV for the cell shown
total magnetization = 0.0 μB/f.u.
formation energy from raw total energies = 1.1281 eV per atom
SG = I-42d

```
NiSbC2
1.0
-1.2863 -1.0683 4.3583
-3.4562 -2.6558 -1.6710
0.6295 -5.7281 1.2816
C Sb Ni
4 2 2
direct
0.5761 0.1250 0.2500
0.1739 0.6250 0.2500
0.3750 0.4239 0.7500
0.8750 0.8261 0.7500
0.7500 0.2500 0.5000
0.0000 0.0000 0.0000
0.2500 0.7500 0.5000
0.5000 0.5000 0.0000
```

***

[5]
Computed, not measured: an optimized crystal structure of K2PaCu2S6 at the PBE level of DFT.

Output
total DFT energy (no corrections) = -53.63 eV for the cell shown
total magnetization = 0.0 μB/f.u.
formation energy from raw total energies = -0.8164 eV per atom
SG = C2/m

```
K2PaCu2S6
1.0
5.7540 0.0000 0.0000
-2.8770 6.5834 -0.2492
0.0000 -4.0633 7.7999
S K Cu Pa
6 2 2 1
direct
0.6998 0.9029 0.2106
0.2031 0.9029 0.2106
0.3002 0.0971 0.7894
0.7969 0.0971 0.7894
0.7185 0.4371 0.6036
0.2815 0.5629 0.3964
0.7011 0.4022 0.1860
0.2989 0.5978 0.8140
0.9041 0.8083 0.6962
0.0959 0.1917 0.3038
0.5000 0.0000 0.5000
```

***

[6]
Computed, not measured: an optimized crystal structure of Pa2CdP2N6 at the PBE level of DFT.

Output
total DFT energy (no corrections) = -89.48 eV for the cell shown
total magnetization = 0.0 μB/f.u.
formation energy from raw total energies = -0.8005 eV per atom
SG = C2/m

```
Pa2CdP2N6
1.0
-1.8477 -1.7684 -5.5023
4.3739 -0.6746 -4.5971
-2.5921 -5.3341 2.5855
Cd N Pa P
1 6 2 2
direct
0.5000 0.0000 0.5000
0.9709 0.6349 0.8736
0.0291 0.3651 0.1264
0.0774 0.8453 0.6130
0.6058 0.3650 0.1264
0.3942 0.6350 0.8736
0.9226 0.1547 0.3870
0.8154 0.3691 0.7948
0.1846 0.6309 0.2052
0.1056 0.7888 0.8338
0.8944 0.2112 0.1662
```

***

[7]
Computed, not measured: an optimized crystal structure of LiFeCo at the PBE level of DFT.

Output
total DFT energy (no corrections) = -34.13 eV for the cell shown
total magnetization = 3.8 μB/f.u.
E_form = 0.14 eV/atom
relative energy among the computed polymorphs = 14 meV per atom
SG = Pm

```
LiFeCo
1.0
4.0863 -0.5708 0.3238
0.3207 2.3831 0.1515
-0.2930 1.8833 7.0182
Li Fe Co
2 2 2
direct
0.7040 0.0677 0.2530
0.7040 0.6995 0.9254
0.7040 0.4044 0.5926
0.2039 0.1973 0.4201
0.2040 0.8959 0.0878
0.2040 0.5630 0.7550
```

***

[8]
Computed, not measured: an optimized crystal structure of Pr2Ho3Th2 at the PBE level of DFT.

Output
total DFT energy (no corrections) = -37.10 eV for the cell shown
total magnetization = 0.0 μB/f.u.
E_form = 0.15 eV/atom
relative energy among the computed polymorphs = 110 meV per atom
SG = C2/m

```
Pr2Ho3Th2
1.0
-3.4258 -0.4741 0.1781
-0.3097 -0.9937 -8.6022
2.9620 -6.8602 5.0454
Th Ho Pr
2 3 2
direct
0.8452 0.6448 0.6904
0.1548 0.3552 0.3096
0.7837 0.2018 0.5674
0.0000 0.5000 0.0000
0.2163 0.7982 0.4326
0.4371 0.0898 0.8742
0.5629 0.9102 0.1258
```